Entry 1:
The following is a DFT calculation (SCAN) of a PBEsol-optimized structure of Tl2NiAg.

Values from the calculation:
- Energy of formation from the pure elements: 304.7 meV/atom
- Calculated density: 12.1 g/cm3
- Symmetry: Pmm2, No. 25

Cell lengths 3.150, 3.320, 7.521 Å; angles 90.00, 90.00, 90.00 degrees
Atoms (fractional coordinates):
1 Ni 0.500 0.500 0.733
2 Tl 0.500 0.500 0.282
3 Tl 0.000 0.000 0.937
4 Ag 0.000 0.000 0.548

Entry 2:
The following is a DFT calculation (SCAN) of a PBEsol-optimized structure of TlNi2Ag2.

Values from the calculation:
- Energy of formation from the pure elements: 455.4 meV/atom
- Calculated density: 10.5 g/cm3
- Symmetry: I4/mmm, No. 139

Cell lengths 3.251, 3.251, 8.365 Å; angles 101.21, 101.21, 90.00 degrees
Last column: magnetic moment on the atom in μB.
Atoms (fractional coordinates):
1 Ag 0.622 0.622 0.243  -0.01
2 Ag 0.378 0.378 0.757  -0.01
3 Ni 0.750 0.250 0.500  0.82
4 Ni 0.250 0.750 0.500  0.82
5 Tl 0.000 0.000 0.000  0.00

Entry 3:
The following is a DFT calculation (SCAN) of a PBEsol-optimized structure of TlNiAg3.

Values from the calculation:
- Energy of formation from the pure elements: 1370.9 meV/atom
- Calculated density: 7.4 g/cm3
- Symmetry: Pm-3m, No. 221

Cell lengths 5.085, 5.085, 5.085 Å; angles 90.00, 90.00, 90.00 degrees
Last column: magnetic moment on the atom in μB.
Atoms (fractional coordinates):
1 Ni 0.500 0.500 0.500  1.00
2 Ag 0.500 0.000 0.000  0.00
3 Ag 0.000 0.000 0.500  0.00
4 Ag 0.000 0.500 0.000  0.00
5 Tl 0.000 0.000 0.000  0.00

Entry 4:
The following is a DFT calculation (SCAN) of a PBEsol-optimized structure of Ni2AgW.

Values from the calculation:
- Energy of formation from the pure elements: 343.2 meV/atom
- Calculated density: 13.0 g/cm3
- Symmetry: Amm2, No. 38

Cell lengths 2.627, 4.093, 5.037 Å; angles 90.00, 105.12, 90.00 degrees
Atoms (fractional coordinates):
1 W 0.458 0.000 0.916
2 Ni 0.190 0.000 0.379
3 Ni 0.053 0.500 0.107
4 Ag 0.792 0.500 0.585